# 1
DFT (PBE) results for a relaxed Y2TlRu crystal.

```
4
Lattice="3.416 0.000 0.000 0.000 3.452 0.000 0.000 0.000 8.162" Properties=species:S:1:pos:R:3 pbc="T T T"
Y 0.000 0.000 1.666
Y 0.000 0.000 6.496
Tl 1.708 1.726 4.081
Ru 1.708 1.726 0.000
```

Properties
As for the space group: Pmmm. For the calculated volume, the calculation gives 24.062 Å³/atom. For the formation enthalpy at 0 K, the calculation gives -403 meV per atom. The calculation puts the total energy at -26.18 eV for the cell shown.

=====

# 2
DFT (PBE) results for a relaxed YTlRu2 crystal.

```
16
Lattice="6.694 0.000 0.000 0.000 6.694 0.000 0.000 0.000 6.694" Properties=species:S:1:pos:R:3 pbc="T T T"
Y 0.000 0.000 0.000
Y 0.000 3.347 3.347
Y 3.347 0.000 3.347
Y 3.347 3.347 0.000
Tl 0.000 0.000 3.347
Tl 0.000 3.347 0.000
Tl 3.347 0.000 0.000
Tl 3.347 3.347 3.347
Ru 1.674 1.674 1.674
Ru 1.674 1.674 5.021
Ru 1.674 5.021 1.674
Ru 1.674 5.021 5.021
Ru 5.021 1.674 1.674
Ru 5.021 1.674 5.021
Ru 5.021 5.021 1.674
Ru 5.021 5.021 5.021
```

Properties
The distance to the lowest polymorph of the same formula is 51 meV/atom. As for the space group: Fm-3m. For the calculated volume, the calculation gives 18.749 Å³/atom. For the formation enthalpy at 0 K, the calculation gives 118 meV per atom. The calculation puts the total energy at -107.64 eV for the cell shown.

=====

# 3
DFT (PBE) results for a relaxed YTlRu2 crystal.

```
8
Lattice="6.141 0.000 0.000 0.000 9.036 0.000 -1.354 0.000 2.751" Properties=species:S:1:pos:R:3 pbc="T T T"
Y 0.000 0.000 0.000
Y 3.070 4.518 0.000
Tl 0.000 4.518 0.000
Tl 3.070 0.000 0.000
Ru 0.858 2.259 1.376
Ru 0.858 6.777 1.376
Ru 3.929 2.259 1.376
Ru 3.929 6.777 1.376
```

Properties
The distance to the lowest polymorph of the same formula is 241 meV/atom. As for the space group: C2/m. For the calculated volume, the calculation gives 19.083 Å³/atom. For the formation enthalpy at 0 K, the calculation gives 309 meV per atom. The calculation puts the total energy at -52.29 eV for the cell shown.

=====

# 4
DFT (PBE) results for a relaxed Y2TlRu crystal.

```
8
Lattice="4.614 0.000 0.000 0.000 3.809 0.000 0.000 0.000 11.091" Properties=species:S:1:pos:R:3 pbc="T T T"
Y 0.000 0.000 0.000
Y 0.000 1.905 5.546
Y 2.307 0.000 3.308
Y 2.307 1.905 8.854
Tl 0.000 0.000 7.963
Tl 0.000 1.905 2.418
Ru 2.307 0.000 6.204
Ru 2.307 1.905 0.658
```

Properties
As for the space group: Amm2. For the calculated volume, the calculation gives 24.366 Å³/atom. For the formation enthalpy at 0 K, the calculation gives -226 meV per atom. The calculation puts the total energy at -50.95 eV for the cell shown.

=====

# 5
DFT (PBE) results for a relaxed YTlRu crystal.

```
3
Lattice="4.701 0.000 0.000 -2.350 4.071 0.000 0.000 0.000 3.522" Properties=species:S:1:pos:R:3 pbc="T T T"
Y 0.000 0.000 0.000
Tl 0.000 2.714 1.761
Ru 2.350 1.357 1.761
```

Properties
As for the space group: P-6m2. For the calculated volume, the calculation gives 22.465 Å³/atom. For the formation enthalpy at 0 K, the calculation gives -2 meV per atom. The calculation puts the total energy at -18.11 eV for the cell shown.

=====

# 6
DFT (PBE) results for a relaxed YTlRu2 crystal.

```
8
Lattice="9.278 0.000 0.000 0.000 3.319 0.000 -1.458 0.000 5.123" Properties=species:S:1:pos:R:3 pbc="T T T"
Y 0.000 0.000 0.000
Y 4.639 1.660 0.000
Tl -0.729 1.660 2.561
Tl 3.910 0.000 2.561
Ru 1.258 0.000 3.595
Ru 1.924 1.660 1.528
Ru 5.897 1.660 3.595
Ru 6.563 0.000 1.528
```

Properties
The distance to the lowest polymorph of the same formula is 182 meV/atom. As for the space group: C2/m. For the calculated volume, the calculation gives 19.721 Å³/atom. For the formation enthalpy at 0 K, the calculation gives 249 meV per atom. The calculation puts the total energy at -52.77 eV for the cell shown.